Entry 1:
Density functional theory data (PBE) for a geometry-optimized Ni2Pd2Pt structure.

Geometry as CIF:
```
data_Ni2Pd2Pt
_chemical_formula_sum 'Ni8 Pd8 Pt4'
_space_group_name_H-M_alt 'C m c 21'
_space_group_IT_number 36
_space_group_name_Hall 'C 2c -2'
_cell_length_a 4.0030
_cell_length_b 13.3169
_cell_length_c 5.2567
_cell_angle_alpha 90.00
_cell_angle_beta 90.00
_cell_angle_gamma 90.00
loop_
_atom_site_label
_atom_site_type_symbol
_atom_site_fract_x
_atom_site_fract_y
_atom_site_fract_z
Ni1 Ni 0.0000 0.1047 0.0000
Ni2 Ni 0.0000 0.3148 0.2565
Pd1 Pd 0.0000 0.2942 0.7446
Pd2 Pd 0.0000 0.4967 0.7491
Pt1 Pt 0.0000 0.1044 0.5054
```

Calculated values
For the excess energy over the best structure of this formula in the dataset, the calculation gives 0.087 eV/atom. For the formation energy, the calculation gives 0.3 eV/f.u. Its calculated volume is 280 Å³ per cell.

Entry 2:
Density functional theory data (PBE) for a geometry-optimized NiPdPt2 structure.

Geometry as CIF:
```
data_NiPdPt2
_chemical_formula_sum 'Ni3 Pd3 Pt6'
_space_group_name_H-M_alt 'R -3 m'
_space_group_IT_number 166
_space_group_name_Hall '-R 3 2"'
_cell_length_a 2.7628
_cell_length_b 2.7628
_cell_length_c 26.5542
_cell_angle_alpha 90.00
_cell_angle_beta 90.00
_cell_angle_gamma 120.00
loop_
_atom_site_label
_atom_site_type_symbol
_atom_site_fract_x
_atom_site_fract_y
_atom_site_fract_z
Ni1 Ni 0.0000 0.0000 0.0000
Pd1 Pd 0.0000 0.0000 0.5000
Pt1 Pt 0.0000 0.0000 0.2553
```

Calculated values
For the formation energy, the calculation gives -0.2 eV/f.u. Its calculated volume is 176 Å³ per cell.